# 1
This record from the Alexandria database describes a geometry-optimized Sr4MgHg3 structure. The functional is GGA-PBE.

abc: 5.714 8.089 11.423
angles: 90.00 90.00 90.00
Element x y z (fractional)
Sr 0.500 0.757 0.000
Sr 0.500 0.757 0.500
Sr 0.500 0.243 0.000
Sr 0.500 0.243 0.500
Sr 0.000 0.757 0.750
Sr 0.000 0.757 0.250
Sr 0.000 0.243 0.250
Sr 0.000 0.243 0.750
Mg 0.000 0.500 0.000
Mg 0.000 0.500 0.500
Hg 0.000 0.000 0.000
Hg 0.000 0.000 0.500
Hg 0.501 0.000 0.750
Hg 0.499 0.000 0.250
Hg 0.501 0.500 0.750
Hg 0.499 0.500 0.250

Output
Calculated formation energy, meV per atom: -403
Symmetry: P4/mmm (123)

# 2
This record from the Alexandria database describes a geometry-optimized KRbIn2Pb structure. The functional is GGA-PBE.

abc: 6.261 6.088 6.261
angles: 90.00 90.00 90.00
Element x y z (fractional)
Pb 0.500 0.500 0.500
K 0.000 0.500 0.000
Rb 0.000 0.000 0.000
In 0.000 0.000 0.500
In 0.500 0.000 0.000

Output
Calculated formation energy, meV per atom: 733
Symmetry: P4/mmm (123)

# 3
This record from the Alexandria database describes a geometry-optimized MgAlW2 structure. The functional is GGA-PBE.

abc: 5.257 5.257 2.729
angles: 82.50 82.50 117.49
Element x y z (fractional)
Al 0.500 0.000 0.500
Mg 0.000 0.500 0.500
W 0.000 0.000 0.000
W 0.500 0.500 0.000

Output
Energy above the lowest structure with this stoichiometry, eV per atom: 0.077
Calculated formation energy, meV per atom: 229
Symmetry: C2/m (12)

# 4
This record from the Alexandria database describes a geometry-optimized La3MnTl4S8 structure. The functional is GGA-PBE.

abc: 8.280 8.826 8.277
angles: 117.96 120.01 90.00
Last column: magnetic moment on the atom in μB.
Element x y z (fractional)
La 0.500 0.500 0.000  -0.01
La 0.500 0.500 0.500  -0.01
La 0.000 0.500 0.500  -0.01
Mn 0.000 0.500 0.000  -3.83
Tl 0.500 0.000 0.000  0.00
Tl 0.500 0.000 0.500  -0.01
Tl 0.000 0.000 0.000  -0.01
Tl 0.000 0.000 0.500  -0.01
S 0.217 0.695 0.979  0.02
S 0.216 0.695 0.432  0.02
S 0.263 0.290 0.527  0.00
S 0.762 0.695 0.979  0.02
S 0.238 0.305 0.021  0.02
S 0.737 0.710 0.473  0.00
S 0.784 0.305 0.568  0.02
S 0.783 0.305 0.021  0.02

Output
Symmetry: R-3m (166)
Uncorrected formation energy, meV/atom: -1187

# 5
This record from the Alexandria database describes a geometry-optimized CaAlHg structure. The functional is GGA-PBE.

abc: 4.730 6.027 6.027
angles: 86.65 67.06 67.06
Element x y z (fractional)
Ca 0.236 0.816 0.816
Ca 0.723 0.329 0.329
Al 0.479 0.914 0.233
Al 0.479 0.233 0.914
Hg 0.980 0.393 0.751
Hg 0.980 0.751 0.393

Output
Energy above the lowest structure with this stoichiometry, eV per atom: 0.047
Calculated formation energy, meV per atom: -370
Symmetry: Cm (8)

# 6
This record from the Alexandria database describes a geometry-optimized La2CuPt2 structure. The functional is GGA-PBE.

abc: 3.955 3.955 8.387
angles: 76.36 76.36 90.00
Element x y z (fractional)
Cu 0.000 0.000 0.000
Pt 0.750 0.250 0.500
Pt 0.250 0.750 0.500
La 0.389 0.389 0.221
La 0.611 0.611 0.779

Output
Calculated formation energy, meV per atom: -564
Symmetry: I4/mmm (139)

# 7
This record from the Alexandria database describes a geometry-optimized Mg2GaH2 structure. The functional is GGA-PBE.

abc: 3.198 3.198 6.757
angles: 76.31 76.31 90.00
Element x y z (fractional)
H 0.750 0.250 0.500
H 0.250 0.750 0.500
Mg 0.342 0.342 0.315
Mg 0.658 0.658 0.685
Ga 0.000 0.000 0.000

Output
Energy above the lowest structure with this stoichiometry, eV per atom: 0.000
Symmetry: I4/mmm (139)

# 8
This record from the Alexandria database describes a geometry-optimized RbNa2BeS structure. The functional is GGA-PBE.

abc: 6.125 5.591 6.125
angles: 90.00 90.00 90.00
Element x y z (fractional)
Na 0.000 0.000 0.500
Na 0.500 0.000 0.000
S 0.500 0.500 0.500
Rb 0.000 0.000 0.000
Be 0.000 0.500 0.000

Output
Symmetry: P4/mmm (123)
Uncorrected formation energy, meV/atom: 1117

Calculated total energy / eV per atom: -1.557 -1.517 -7.581 -5.339 -2.386 -5.770 -2.683 -1.175